No. 1
{"formula": "Tb2BiI", "functional": "PBE", "state": "relaxed", "formation_energy_uncorrected_ev_per_atom": -0.7278, "e_tot_ev_per_atom": -4.401, "m_tot_mub_per_fu": 0.000, "lattice_angstrom": [[4.5933, 0.0000, 0.0000], [2.2966, 3.9779, 0.0000], [2.2966, 1.3260, 6.9250]], "species": ["I", "Tb", "Tb", "Bi"], "fractional_positions": [[0.5000, 0.5000, 0.5000], [0.2571, 0.2571, 0.2287], [0.7429, 0.7429, 0.7713], [0.0000, 0.0000, 0.0000]]}



No. 2
{"formula": "Tb7BiI12", "functional": "PBE", "state": "relaxed", "formation_energy_uncorrected_ev_per_atom": -1.1722, "e_tot_ev_per_atom": -3.917, "m_tot_mub_per_fu": 0.000, "lattice_angstrom": [[9.8381, -0.1854, -0.2783], [-2.9137, 9.3986, -0.2783], [-2.9137, -3.8768, 8.5663]], "species": ["Tb", "Tb", "Tb", "Tb", "Tb", "Tb", "Tb", "Bi", "I", "I", "I", "I", "I", "I", "I", "I", "I", "I", "I", "I"], "fractional_positions": [[0.9575, 0.6674, 0.8860], [0.3326, 0.1140, 0.0425], [0.1140, 0.0425, 0.3326], [0.5000, 0.5000, 0.5000], [0.8860, 0.9575, 0.6674], [0.6674, 0.8860, 0.9575], [0.0425, 0.3326, 0.1140], [0.0000, 0.0000, 0.0000], [0.9228, 0.3101, 0.7711], [0.6899, 0.2289, 0.0772], [0.4722, 0.1567, 0.3930], [0.8433, 0.6070, 0.5278], [0.2289, 0.0772, 0.6899], [0.6070, 0.5278, 0.8433], [0.3930, 0.4722, 0.1567], [0.7711, 0.9228, 0.3101], [0.1567, 0.3930, 0.4722], [0.5278, 0.8433, 0.6070], [0.3101, 0.7711, 0.9228], [0.0772, 0.6899, 0.2289]]}



> Which formula does entry 1 have?

Tb2BiI



> What is the formula in the first record?

Tb2BiI